This record from Alexandria via LeMat-Bulk describes a relaxed Li3Pr2Mg12Ag crystal. The functional is PBE.

Cell: 6.4951 6.4951 39.3771 Å, 90.00 90.00 120.00°
Space group R-3m (No. 166, hexagonal axes)
Symmetry-distinct sites (fractional):
Li1 0.0000 0.5000 0.0000 (multiplicity 9)
Pr1 0.0000 0.0000 0.1404 (multiplicity 6)
Mg1 0.0051 0.5026 0.8825 (multiplicity 18)
Mg2 0.0176 0.5088 0.6087 (multiplicity 18)
Ag1 0.0000 0.0000 0.5000 (multiplicity 3)

calculated total energy	-1.98	eV per atom
ΔE_f	95	meV per atom


This record from Alexandria via LeMat-Bulk describes a relaxed LiMgAgSb crystal. The functional is PBE.

Cell: 6.8630 6.8630 6.8630 Å, 90.00 90.00 90.00°
Space group F-43m (No. 216)
Symmetry-distinct sites (fractional):
Li1 0.0000 0.0000 0.0000 (multiplicity 4)
Mg1 0.0000 0.0000 0.5000 (multiplicity 4)
Ag1 0.2500 0.2500 0.7500 (multiplicity 4)
Sb1 0.2500 0.2500 0.2500 (multiplicity 4)

uncorrected formation energy	-1.1	eV/f.u.
calculated total energy	-2.90	eV per atom


This record from Alexandria via LeMat-Bulk describes a relaxed LiMgSiAg crystal. The functional is PBE.

Cell: 6.3816 6.3816 6.3816 Å, 90.00 90.00 90.00°
Space group F-43m (No. 216)
Symmetry-distinct sites (fractional):
Li1 0.0000 0.0000 0.0000 (multiplicity 4)
Mg1 0.2500 0.2500 0.2500 (multiplicity 4)
Si1 0.0000 0.0000 0.5000 (multiplicity 4)
Ag1 0.2500 0.2500 0.7500 (multiplicity 4)

uncorrected formation energy	-0.5	eV/f.u.
calculated total energy	-3.07	eV per atom


This record from Alexandria via LeMat-Bulk describes a relaxed LiSmMg2Ag2 crystal. The functional is PBE.

Cell: 5.3139 5.3139 10.8606 Å, 90.00 90.00 90.00°
Space group I4/mmm (No. 139)
Symmetry-distinct sites (fractional):
Li1 0.0000 0.0000 0.0000 (multiplicity 2)
Sm1 0.0000 0.0000 0.5000 (multiplicity 2)
Mg1 0.0000 0.5000 0.2500 (multiplicity 4)
Ag1 0.0000 0.0000 0.2250 (multiplicity 4)

calculated total energy	-2.49	eV per atom
ΔE_f	100	meV per atom


This record from Alexandria via LeMat-Bulk describes a relaxed Li2SmMgAg2 crystal. The functional is PBE.

Cell: 4.6441 4.6441 6.6631 Å, 90.00 90.00 120.00°
Space group P-3m1 (No. 164)
Symmetry-distinct sites (fractional):
Li1 0.3333 0.6667 0.1854 (multiplicity 2)
Sm1 0.0000 0.0000 0.5000 (multiplicity 1)
Mg1 0.0000 0.0000 0.0000 (multiplicity 1)
Ag1 0.3333 0.6667 0.7741 (multiplicity 2)

calculated total energy	-2.81	eV per atom
ΔE_f	-174	meV per atom


This record from Alexandria via LeMat-Bulk describes a relaxed LiMg2Ag2Sn2 crystal. The functional is PBE.

Cell: 4.7480 4.7480 23.2104 Å, 90.00 90.00 120.00°
Space group R-3m (No. 166, hexagonal axes)
Symmetry-distinct sites (fractional):
Li1 0.0000 0.0000 0.0000 (multiplicity 3)
Mg1 0.0000 0.0000 0.1299 (multiplicity 6)
Ag1 0.0000 0.0000 0.2513 (multiplicity 6)
Sn1 0.0000 0.0000 0.3894 (multiplicity 6)

calculated total energy	-2.85	eV per atom
ΔE_f	-167	meV per atom


This record from Alexandria via LeMat-Bulk describes a relaxed Li2MgAg2Sn2 crystal. The functional is PBE.

Cell: 4.7911 4.7911 21.0949 Å, 90.00 90.00 120.00°
Space group R-3m (No. 166, hexagonal axes)
Symmetry-distinct sites (fractional):
Li1 0.0000 0.0000 0.1392 (multiplicity 6)
Mg1 0.0000 0.0000 0.0000 (multiplicity 3)
Ag1 0.0000 0.0000 0.4318 (multiplicity 6)
Sn1 0.0000 0.0000 0.2747 (multiplicity 6)

calculated total energy	-2.90	eV per atom
ΔE_f	-168	meV per atom


This record from Alexandria via LeMat-Bulk describes a relaxed LiMgAgSn crystal. The functional is PBE.

Cell: 5.0899 5.0899 6.1145 Å, 90.00 90.00 90.00°
Space group I-4m2 (No. 119)
Symmetry-distinct sites (fractional):
Li1 0.0000 0.0000 0.0000 (multiplicity 2)
Mg1 0.0000 0.5000 0.7500 (multiplicity 2)
Ag1 0.0000 0.5000 0.2500 (multiplicity 2)
Sn1 0.0000 0.0000 0.5000 (multiplicity 2)

calculated total energy	-2.81	eV per atom
ΔE_f	-221	meV per atom


This record from Alexandria via LeMat-Bulk describes a relaxed Li3Mg2Ag2Sn4 crystal. The functional is PBE.

Cell: 5.4901 5.4901 19.8422 Å, 90.00 90.00 90.00°
Space group I4/mmm (No. 139)
Symmetry-distinct sites (fractional):
Li1 0.0000 0.0000 0.0000 (multiplicity 2)
Li2 0.0000 0.0000 0.1453 (multiplicity 4)
Mg1 0.0000 0.0000 0.2912 (multiplicity 4)
Ag1 0.0000 0.0000 0.4284 (multiplicity 4)
Sn1 0.0000 0.5000 0.0771 (multiplicity 8)

calculated total energy	-2.67	eV per atom
ΔE_f	118	meV per atom


This record from Alexandria via LeMat-Bulk describes a relaxed Sr2Li6MgAg crystal. The functional is PBE.

Cell: 7.3473 7.4573 10.4762 Å, 90.00 90.00 90.00°
Space group Immm (No. 71)
Symmetry-distinct sites (fractional):
Sr1 0.0000 0.0000 0.2499 (multiplicity 4)
Li1 0.0000 0.5000 0.2402 (multiplicity 4)
Li2 0.2401 0.2599 0.0000 (multiplicity 8)
Mg1 0.0000 0.5000 0.5000 (multiplicity 2)
Ag1 0.0000 0.5000 0.0000 (multiplicity 2)

calculated total energy	-1.87	eV per atom
ΔE_f	62	meV per atom


This record from Alexandria via LeMat-Bulk describes a relaxed Sr2LiMgAg crystal. The functional is PBE.

Cell: 6.1375 6.1375 5.2239 Å, 90.00 90.00 90.00°
Space group P4/mmm (No. 123)
Symmetry-distinct sites (fractional):
Sr1 0.0000 0.5000 0.0000 (multiplicity 2)
Li1 0.0000 0.0000 0.5000 (multiplicity 1)
Mg1 0.5000 0.5000 0.5000 (multiplicity 1)
Ag1 0.5000 0.5000 0.0000 (multiplicity 1)

energy above the lowest structure with this stoichiometry	0.000	eV per atom
calculated total energy	-1.93	eV per atom
ΔE_f	13	meV per atom


This record from Alexandria via LeMat-Bulk describes a relaxed Sr2LiMgAg crystal. The functional is PBE.

Cell: 6.1585 6.1585 4.9186 Å, 90.00 90.00 90.00°
Space group P4/mmm (No. 123)
Symmetry-distinct sites (fractional):
Sr1 0.0000 0.5000 0.0000 (multiplicity 2)
Li1 0.0000 0.0000 0.5000 (multiplicity 1)
Mg1 0.5000 0.5000 0.5000 (multiplicity 1)
Ag1 0.0000 0.0000 0.0000 (multiplicity 1)

energy above the lowest structure with this stoichiometry	0.006	eV per atom
calculated total energy	-1.93	eV per atom
ΔE_f	19	meV per atom


This record from Alexandria via LeMat-Bulk describes a relaxed SrLiMgAg2 crystal. The functional is PBE.

Cell: 4.3549 4.3549 12.9091 Å, 90.00 90.00 90.00°
Space group I-4m2 (No. 119)
Symmetry-distinct sites (fractional):
Sr1 0.0000 0.0000 0.0000 (multiplicity 2)
Li1 0.0000 0.5000 0.7500 (multiplicity 2)
Mg1 0.0000 0.5000 0.2500 (multiplicity 2)
Ag1 0.0000 0.0000 0.3894 (multiplicity 4)

calculated total energy	-2.42	eV per atom
ΔE_f	-238	meV per atom


This record from Alexandria via LeMat-Bulk describes a relaxed Sr2Li2MgAg crystal. The functional is PBE.

Cell: 6.8871 15.4545 6.9442 Å, 90.00 90.00 90.00°
Space group Ibam (No. 72)
Symmetry-distinct sites (fractional):
Sr1 0.2406 0.1627 0.0000 (multiplicity 8)
Li1 0.2296 0.0909 0.5000 (multiplicity 8)
Mg1 0.0000 0.5000 0.2500 (multiplicity 4)
Ag1 0.0000 0.0000 0.2500 (multiplicity 4)

calculated total energy	-2.02	eV per atom
ΔE_f	-77	meV per atom


This record from Alexandria via LeMat-Bulk describes a relaxed Sr2LiMgAg6 crystal. The functional is PBE.

Cell: 9.9640 10.0209 6.8686 Å, 90.00 133.53 90.00°
Space group C2/m (No. 12)
Symmetry-distinct sites (fractional):
Sr1 0.0000 0.2165 0.0000 (multiplicity 4)
Li1 0.0000 0.5000 0.5000 (multiplicity 2)
Mg1 0.0000 0.0000 0.5000 (multiplicity 2)
Ag1 0.0000 0.2626 0.5000 (multiplicity 4)
Ag2 0.1966 0.5000 0.4089 (multiplicity 4)
Ag3 0.1979 0.5000 0.9845 (multiplicity 4)

calculated total energy	-2.46	eV per atom
ΔE_f	-63	meV per atom


This record from Alexandria via LeMat-Bulk describes a relaxed SrLiMg2Ag4 crystal. The functional is PBE.

Cell: 4.7171 4.7171 27.2192 Å, 90.00 90.00 120.00°
Space group R-3m (No. 166, hexagonal axes)
Symmetry-distinct sites (fractional):
Sr1 0.0000 0.0000 0.0000 (multiplicity 3)
Li1 0.0000 0.0000 0.5000 (multiplicity 3)
Mg1 0.0000 0.0000 0.2340 (multiplicity 6)
Ag1 0.0000 0.0000 0.1292 (multiplicity 6)
Ag2 0.0000 0.0000 0.4050 (multiplicity 6)

calculated total energy	-2.50	eV per atom
ΔE_f	-221	meV per atom


This record from Alexandria via LeMat-Bulk describes a relaxed Sr2Li3MgAg12 crystal. The functional is PBE.

Cell: 6.8003 6.8003 30.3226 Å, 90.00 90.00 120.00°
Space group R-3m (No. 166, hexagonal axes)
Symmetry-distinct sites (fractional):
Sr1 0.0000 0.0000 0.1435 (multiplicity 6)
Li1 0.0000 0.5000 0.0000 (multiplicity 9)
Mg1 0.0000 0.0000 0.5000 (multiplicity 3)
Ag1 0.0372 0.5186 0.0973 (multiplicity 18)
Ag2 0.0626 0.5313 0.6231 (multiplicity 18)

calculated total energy	-2.50	eV per atom
ΔE_f	-2	meV per atom


This record from Alexandria via LeMat-Bulk describes a relaxed SrLi2MgAg4 crystal. The functional is PBE.

Cell: 4.5927 4.5927 28.3756 Å, 90.00 90.00 120.00°
Space group R-3m (No. 166, hexagonal axes)
Symmetry-distinct sites (fractional):
Sr1 0.0000 0.0000 0.0000 (multiplicity 3)
Li1 0.0000 0.0000 0.2331 (multiplicity 6)
Mg1 0.0000 0.0000 0.5000 (multiplicity 3)
Ag1 0.0000 0.0000 0.1260 (multiplicity 6)
Ag2 0.0000 0.0000 0.4048 (multiplicity 6)

calculated total energy	-2.51	eV per atom
ΔE_f	-200	meV per atom


This record from Alexandria via LeMat-Bulk describes a relaxed SrLiMg3Ag crystal. The functional is PBE.

Cell: 7.0576 13.7795 6.3594 Å, 90.00 90.00 90.00°
Space group Cmcm (No. 63)
Symmetry-distinct sites (fractional):
Sr1 0.0000 0.2142 0.2500 (multiplicity 4)
Li1 0.0000 0.4341 0.2500 (multiplicity 4)
Mg1 0.0000 0.3553 0.7500 (multiplicity 4)
Mg2 0.2084 0.0000 0.0000 (multiplicity 8)
Ag1 0.0000 0.1427 0.7500 (multiplicity 4)

calculated total energy	-1.90	eV per atom
ΔE_f	-33	meV per atom


This record from Alexandria via LeMat-Bulk describes a relaxed SrLiMg2Ag crystal. The functional is PBE.

Cell: 5.2579 5.2579 5.1317 Å, 90.00 90.00 90.00°
Space group P4/mmm (No. 123)
Symmetry-distinct sites (fractional):
Sr1 0.0000 0.0000 0.0000 (multiplicity 1)
Li1 0.5000 0.5000 0.0000 (multiplicity 1)
Mg1 0.0000 0.5000 0.5000 (multiplicity 2)
Ag1 0.5000 0.5000 0.5000 (multiplicity 1)

calculated total energy	-1.96	eV per atom
ΔE_f	-35	meV per atom


This record from Alexandria via LeMat-Bulk describes a relaxed LiTbMg2Ag4 crystal. The functional is PBE.

Cell: 4.7752 4.7752 24.0021 Å, 90.00 90.00 120.00°
Space group R-3m (No. 166, hexagonal axes)
Symmetry-distinct sites (fractional):
Li1 0.0000 0.0000 0.0000 (multiplicity 3)
Tb1 0.0000 0.0000 0.5000 (multiplicity 3)
Mg1 0.0000 0.0000 0.2531 (multiplicity 6)
Ag1 0.0000 0.0000 0.1113 (multiplicity 6)
Ag2 0.0000 0.0000 0.3720 (multiplicity 6)

calculated total energy	-2.89	eV per atom
ΔE_f	-244	meV per atom


This record from Alexandria via LeMat-Bulk describes a relaxed Li2TbMgAg2 crystal. The functional is PBE.

Cell: 4.6082 4.6082 6.6185 Å, 90.00 90.00 120.00°
Space group P-3m1 (No. 164)
Symmetry-distinct sites (fractional):
Li1 0.3333 0.6667 0.1833 (multiplicity 2)
Tb1 0.0000 0.0000 0.5000 (multiplicity 1)
Mg1 0.0000 0.0000 0.0000 (multiplicity 1)
Ag1 0.3333 0.6667 0.7631 (multiplicity 2)

calculated total energy	-2.80	eV per atom
ΔE_f	-172	meV per atom


This record from Alexandria via LeMat-Bulk describes a relaxed LiMgAg2Te crystal. The functional is PBE.

Cell: 5.0915 5.0915 5.5306 Å, 90.00 90.00 90.00°
Space group P4/mmm (No. 123)
Symmetry-distinct sites (fractional):
Li1 0.0000 0.0000 0.0000 (multiplicity 1)
Mg1 0.5000 0.5000 0.5000 (multiplicity 1)
Ag1 0.0000 0.5000 0.5000 (multiplicity 2)
Te1 0.5000 0.5000 0.0000 (multiplicity 1)

uncorrected formation energy	0.9	eV/f.u.
calculated total energy	-2.29	eV per atom


This record from Alexandria via LeMat-Bulk describes a relaxed LiThMgAg crystal. The functional is PBE.

Cell: 7.1197 7.1197 7.1197 Å, 90.00 90.00 90.00°
Space group F-43m (No. 216)
Symmetry-distinct sites (fractional):
Li1 0.0000 0.0000 0.0000 (multiplicity 4)
Th1 0.2500 0.2500 0.7500 (multiplicity 4)
Mg1 0.2500 0.2500 0.2500 (multiplicity 4)
Ag1 0.0000 0.0000 0.5000 (multiplicity 4)

calculated total energy	-3.48	eV per atom
ΔE_f	-35	meV per atom


This record from Alexandria via LeMat-Bulk describes a relaxed Li2MgTlAg crystal. The functional is PBE.

Cell: 4.7113 10.4394 8.2071 Å, 90.00 90.00 90.00°
Space group Cmcm (No. 63)
Symmetry-distinct sites (fractional):
Li1 0.0000 0.1848 0.0538 (multiplicity 8)
Mg1 0.0000 0.5000 0.0000 (multiplicity 4)
Tl1 0.0000 0.3057 0.7500 (multiplicity 4)
Ag1 0.0000 0.0262 0.7500 (multiplicity 4)

calculated total energy	-2.24	eV per atom
ΔE_f	-110	meV per atom